[1]
Compound: Mg2Tc
Source: the Alexandria database
Functional: GGA-PBE
Structure: relaxed

```
Mg2Tc
1.0
1.4710 -8.2375 0.0000
1.4710 8.2375 0.0000
0.0000 0.0000 4.5079
Mg Tc
4 2
direct
0.1047 0.8953 0.7500
0.2056 0.7944 0.2500
0.7944 0.2056 0.7500
0.8953 0.1047 0.2500
0.4623 0.5377 0.7500
0.5377 0.4623 0.2500
```

Summary:
Total DFT energy (no corrections)   -13.02 eV/f.u.
Space group   Cmcm
Formation energy   17 kJ per mole of atoms

[2]
Compound: SrPtCl2
Source: the Alexandria database
Functional: GGA-PBE
Structure: relaxed

```
SrPtCl2
1.0
4.1636 0.0000 0.0000
0.0000 4.1636 0.0000
0.0000 0.0000 5.8670
Sr Pt Cl
1 1 2
direct
0.0000 0.0000 0.0000
0.5000 0.5000 0.7685
0.0000 0.0000 0.5161
0.5000 0.5000 0.1539
```

Summary:
Total DFT energy (no corrections)   -15.39 eV/f.u.
Space group   P4mm

[3]
Compound: PmEr4Ni4
Source: the Alexandria database
Functional: GGA-PBE
Structure: relaxed

```
PmEr4Ni4
1.0
8.5901 0.0000 0.0000
0.0000 8.5901 0.0000
0.0000 0.0000 5.5301
Pm Er Ni
2 8 8
direct
0.2500 0.2500 0.2500
0.7500 0.7500 0.7500
0.0731 0.6597 0.1519
0.1597 0.9269 0.6519
0.3403 0.5731 0.6519
0.4269 0.8403 0.1519
0.5731 0.1597 0.8481
0.6597 0.4269 0.3481
0.8403 0.0731 0.3481
0.9269 0.3403 0.8481
0.0313 0.6129 0.6410
0.1129 0.9687 0.1410
0.3871 0.5313 0.1410
0.4687 0.8871 0.6410
0.5313 0.1129 0.3590
0.6129 0.4687 0.8590
0.8871 0.0313 0.8590
0.9687 0.3871 0.3590
```

Summary:
Total DFT energy (no corrections)   -48.58 eV/f.u.
Space group   P4_2/n
Formation energy   -26 kJ per mole of atoms

[4]
Compound: Ac6Tb2Pr
Source: the Alexandria database
Functional: GGA-PBE
Structure: relaxed

```
Ac6Tb2Pr
1.0
7.7253 -6.2715 0.0000
7.7253 6.2715 0.0000
-0.0910 0.0000 7.7922
Ac Tb Pr
12 4 2
direct
0.0986 0.1048 0.3705
0.1048 0.0986 0.8705
0.1065 0.6006 0.3781
0.1532 0.6122 0.8878
0.3878 0.8468 0.6122
0.3994 0.8935 0.1219
0.6006 0.1065 0.8781
0.6122 0.1532 0.3878
0.8468 0.3878 0.1122
0.8935 0.3994 0.6219
0.8952 0.9014 0.1295
0.9014 0.8952 0.6295
0.2935 0.3016 0.6107
0.3016 0.2935 0.1107
0.6984 0.7065 0.8893
0.7065 0.6984 0.3893
0.4678 0.5322 0.2500
0.5322 0.4678 0.7500
```

Summary:
Total DFT energy (no corrections)   -37.26 eV/f.u.
Space group   C2/c
Formation energy   15 kJ per mole of atoms